Record 1
The following is a DFT calculation (GGA-PBEsol) of a geometry-optimized SbPRu2 structure.

abc: 4.3735 4.3735 4.3735
angles: 60.00 60.00 60.00
With the nearest neighbours (Å) after each atom.
Fractional positions:
Ru 0.7500 0.7500 0.7500  4 Sb 2.68, 4 P 2.68
Ru 0.2500 0.2500 0.2500  4 P 2.68, 4 Sb 2.68
Sb 0.5000 0.5000 0.5000  8 Ru 2.68
P 0.0000 0.0000 0.0000  8 Ru 2.68

Output
Energy relative to the elements, uncorrected ... 0.08 eV/atom



Record 2
The following is a DFT calculation (GGA-PBEsol) of a geometry-optimized SbPRu2 structure.

abc: 3.0421 4.5154 4.5441
angles: 90.00 90.00 90.00
With the nearest neighbours (Å) after each atom.
Fractional positions:
P 0.5000 0.8160 0.5000  4 Ru 2.29-2.41
Ru 0.5000 0.9943 0.0000  2 P 2.41
Ru 0.0000 0.1945 0.5000  2 P 2.29
Sb 0.0000 0.4952 0.0000  6 Ru 2.65-2.73

Output
Energy relative to the elements, uncorrected ... -0.15 eV/atom



Record 3
The following is a DFT calculation (GGA-PBEsol) of a geometry-optimized SbP2Ru structure.

abc: 3.0680 3.0680 7.0411
angles: 90.00 90.00 90.00
With the nearest neighbours (Å) after each atom.
Fractional positions:
Sb 0.5000 0.5000 0.7045  4 Ru 2.82, 4 Sb 3.07
P 0.5000 0.5000 0.2501  4 P 2.42, 4 Ru 2.58
P 0.0000 0.0000 0.0973  4 P 2.42, 1 Ru 2.47
Ru 0.0000 0.0000 0.4481  5 P 2.47-2.58

Output
Energy relative to the elements, uncorrected ... 0.04 eV/atom



Record 4
The following is a DFT calculation (GGA-PBEsol) of a geometry-optimized ScP4Ru6 structure.

abc: 3.6342 6.8421 6.8421
angles: 120.00 90.00 90.00
With the nearest neighbours (Å) after each atom.
Fractional positions:
Ru 0.0000 0.9287 0.4644  5 P 2.40-2.45
Ru 0.0000 0.5356 0.4644  5 P 2.40-2.45
Ru 0.5000 0.1970 0.3940  4 P 2.28-2.43
Ru 0.5000 0.1970 0.8030  4 P 2.28-2.43
Ru 0.5000 0.6060 0.8030  4 P 2.28-2.43
Ru 0.0000 0.5356 0.0713  5 P 2.40-2.45
P 0.5000 0.8126 0.1874  6 Ru 2.28-2.45
P 0.5000 0.8126 0.6253  6 Ru 2.28-2.45
P 0.5000 0.3747 0.1874  6 Ru 2.28-2.45
P 0.0000 0.3333 0.6667  9 Ru 2.40-2.43
Sc 0.0000 0.0000 0.0000  6 P 2.87, 6 Ru 2.96



Record 5
The following is a DFT calculation (GGA-PBEsol) of a geometry-optimized ScP2Ru structure.

abc: 3.0633 4.5162 4.5893
angles: 103.65 109.50 90.00
With the nearest neighbours (Å) after each atom.
Fractional positions:
Sc 0.7442 0.1988 0.4884  7 P 2.56-2.76
P 0.2437 0.7075 0.4874  3 Ru 2.45-2.53, 2 Sc 2.70, 2 P 2.73
P 0.9967 0.9994 0.9934  2 Ru 2.42, 3 Sc 2.56-2.60
Ru 0.5154 0.5944 0.0308  5 P 2.42-2.53



Record 6
The following is a DFT calculation (GGA-PBEsol) of a geometry-optimized ScP2Ru structure.

abc: 3.2957 3.2957 5.4095
angles: 90.00 90.00 90.00
With the nearest neighbours (Å) after each atom.
Fractional positions:
Sc 0.5000 0.5000 0.7936  6 P 2.55-2.76
P 0.0000 0.0000 0.9865  1 Ru 2.43, 4 Sc 2.55
P 0.5000 0.5000 0.2837  4 Ru 2.47, 2 Sc 2.65-2.76
Ru 0.0000 0.0000 0.4362  5 P 2.43-2.47



Record 7
The following is a DFT calculation (GGA-PBEsol) of a geometry-optimized ScPRu3 structure.

abc: 4.2969 4.2969 4.2969
angles: 90.00 90.00 90.00
With the nearest neighbours (Å) after each atom.
Fractional positions:
Ru 0.5000 0.5000 0.0000  2 P 2.15
Ru 0.0000 0.5000 0.5000  2 P 2.15
Ru 0.5000 0.0000 0.5000  2 P 2.15
Sc 0.0000 0.0000 0.0000  12 Ru 3.04
P 0.5000 0.5000 0.5000  6 Ru 2.15



Record 8
The following is a DFT calculation (GGA-PBEsol) of a geometry-optimized ScPRu structure.

abc: 3.5920 6.4831 6.4831
angles: 120.00 90.00 90.00
With the nearest neighbours (Å) after each atom.
Fractional positions:
Ru 0.0000 0.7559 0.7559  4 P 2.39-2.50
Ru 0.0000 0.2441 0.0000  4 P 2.39-2.50
Ru 0.0000 0.0000 0.2441  4 P 2.39-2.50
P 0.0000 0.6667 0.3333  3 Ru 2.50, 6 Sc 2.66
P 0.5000 0.0000 0.0000  6 Ru 2.39, 3 Sc 2.67
P 0.0000 0.3333 0.6667  3 Ru 2.50, 6 Sc 2.66
Sc 0.5000 0.0000 0.5884  5 P 2.66-2.67, 6 Ru 2.87-2.94
Sc 0.5000 0.5884 0.0000  5 P 2.66-2.67, 6 Ru 2.87-2.94
Sc 0.5000 0.4116 0.4116  5 P 2.66-2.67, 6 Ru 2.87-2.94



Record 9
The following is a DFT calculation (GGA-PBEsol) of a geometry-optimized ScTiPRu2 structure.

abc: 4.3007 4.3007 4.6181
angles: 90.00 90.00 90.00
With the nearest neighbours (Å) after each atom.
Fractional positions:
Ti 0.5000 0.5000 0.5000  4 Sc 3.04, 8 Ru 3.16
Ru 0.0000 0.5000 0.0000  2 P 2.15
Ru 0.5000 0.0000 0.0000  2 P 2.15
P 0.0000 0.0000 0.0000  4 Ru 2.15, 2 Sc 2.31
Sc 0.0000 0.0000 0.5000  2 P 2.31



Record 10
The following is a DFT calculation (GGA-PBEsol) of a geometry-optimized Zr2ScPRu structure.

abc: 4.8459 4.8558 4.8558
angles: 90.00 90.00 90.00
With the nearest neighbours (Å) after each atom.
Fractional positions:
Zr 0.0000 0.0000 0.5000  2 Ru 2.43
Zr 0.0000 0.5000 0.0000  2 Ru 2.43
Sc 0.5000 0.0000 0.0000  2 Ru 2.42
Ru 0.0000 0.0000 0.0000  2 Sc 2.42, 4 Zr 2.43
P 0.5000 0.5000 0.5000  8 Zr 3.43, 4 Sc 3.43



Record 11
The following is a DFT calculation (GGA-PBEsol) of a geometry-optimized PRuSe structure.

abc: 5.8848 5.9071 5.9767
angles: 90.00 112.29 90.00
With the nearest neighbours (Å) after each atom.
Fractional positions:
P 0.8562 0.8694 0.1176  3 Ru 2.37-2.38, 1 Se 2.40
P 0.1438 0.3694 0.3824  3 Ru 2.37-2.38, 1 Se 2.40
P 0.8562 0.6306 0.6176  3 Ru 2.37-2.38, 1 Se 2.40
P 0.1438 0.1306 0.8824  3 Ru 2.37-2.38, 1 Se 2.40
Ru 0.7349 0.5100 0.2083  3 P 2.37-2.38, 3 Se 2.41-2.42
Ru 0.2651 0.0100 0.2917  3 P 2.37-2.38, 3 Se 2.41-2.42
Ru 0.2651 0.4900 0.7917  3 P 2.37-2.38, 3 Se 2.41-2.42
Ru 0.7349 0.9900 0.7083  3 P 2.37-2.38, 3 Se 2.41-2.42
Se 0.3344 0.6245 0.1939  1 P 2.40, 3 Ru 2.41-2.42
Se 0.6656 0.1245 0.3061  1 P 2.40, 3 Ru 2.41-2.42
Se 0.3344 0.8755 0.6939  1 P 2.40, 3 Ru 2.41-2.42
Se 0.6656 0.3755 0.8061  1 P 2.40, 3 Ru 2.41-2.42

Output
Energy relative to the elements, uncorrected ... -0.52 eV/atom



Record 12
The following is a DFT calculation (GGA-PBEsol) of a geometry-optimized SrP2Ru2 structure.

abc: 4.0201 4.0201 6.1504
angles: 109.08 109.08 90.00
With the nearest neighbours (Å) after each atom.
Fractional positions:
Sr 0.0000 0.0000 0.0000  8 P 3.26, 8 Ru 3.39
P 0.6463 0.6463 0.2925  4 Ru 2.31
P 0.3537 0.3537 0.7075  4 Ru 2.31
Ru 0.7500 0.2500 0.5000  4 P 2.31
Ru 0.2500 0.7500 0.5000  4 P 2.31



Record 13
The following is a DFT calculation (GGA-PBEsol) of a geometry-optimized Sr2PRu structure.

abc: 3.6074 3.6074 8.9568
angles: 78.38 78.38 60.00
With the nearest neighbours (Å) after each atom.
Fractional positions:
Sr 0.7502 0.7502 0.7493  3 P 3.01, 3 Ru 3.02
Sr 0.2498 0.2498 0.2507  3 P 3.01, 3 Ru 3.02
Ru 0.0000 0.0000 0.0000  6 Sr 3.02
P 0.5000 0.5000 0.5000  6 Sr 3.01



Record 14
The following is a DFT calculation (GGA-PBEsol) of a geometry-optimized TaP2Ru structure.

abc: 4.2299 4.2299 4.2299
angles: 60.00 60.00 60.00
With the nearest neighbours (Å) after each atom.
Fractional positions:
Ru 0.0000 0.0000 0.0000  8 P 2.59
Ta 0.5000 0.5000 0.5000  8 P 2.59
P 0.2500 0.2500 0.2500  4 Ta 2.59, 4 Ru 2.59
P 0.7500 0.7500 0.7500  4 Ta 2.59, 4 Ru 2.59



Record 15
The following is a DFT calculation (GGA-PBEsol) of a geometry-optimized TaPRu structure.

abc: 2.8765 2.8765 6.0381
angles: 90.00 90.00 120.00
With the nearest neighbours (Å) after each atom.
Fractional positions:
P 0.0000 0.0000 0.9794  3 Ru 2.38, 3 Ta 2.66
Ru 0.3333 0.6667 0.6975  3 P 2.38
Ta 0.6667 0.3333 0.3231  3 P 2.66, 3 Ru 2.80, 6 Ta 2.88



Record 16
The following is a DFT calculation (GGA-PBEsol) of a geometry-optimized Ta2PRu structure.

abc: 2.8411 2.8411 7.4476
angles: 90.00 90.00 90.00
With the nearest neighbours (Å) after each atom.
Fractional positions:
Ta 0.5000 0.5000 0.2893  4 P 2.70, 4 Ta 2.84
Ta 0.0000 0.0000 0.9791  8 Ta 2.84-3.06, 4 Ru 2.89
Ru 0.5000 0.5000 0.6996  4 P 2.37
P 0.0000 0.0000 0.5320  4 Ru 2.37



Record 17
The following is a DFT calculation (GGA-PBEsol) of a geometry-optimized TaP2Ru structure.

abc: 3.0296 3.8735 5.4033
angles: 101.65 90.00 113.02
With the nearest neighbours (Å) after each atom.
Fractional positions:
P 0.7480 0.4959 0.7216  3 Ru 2.37-2.43, 3 Ta 2.56-2.57
P 0.2520 0.5041 0.2784  3 Ru 2.37-2.43, 3 Ta 2.56-2.57
Ta 0.5000 0.0000 0.0000  6 P 2.56-2.57
Ru 0.0000 0.0000 0.5000  6 P 2.37-2.43



Record 18
The following is a DFT calculation (GGA-PBEsol) of a geometry-optimized TaPRu structure.

abc: 3.7000 6.2600 7.1338
angles: 90.00 90.00 90.00
With the nearest neighbours (Å) after each atom.
Fractional positions:
P 0.7500 0.7674 0.6247  4 Ru 2.35-2.41, 3 Ta 2.61-2.62
P 0.7500 0.2674 0.8753  4 Ru 2.35-2.41, 3 Ta 2.61-2.62
P 0.2500 0.7326 0.1247  4 Ru 2.35-2.41, 3 Ta 2.61-2.62
P 0.2500 0.2326 0.3753  4 Ru 2.35-2.41, 3 Ta 2.61-2.62
Ru 0.7500 0.6451 0.9371  4 P 2.35-2.41
Ru 0.2500 0.8549 0.4371  4 P 2.35-2.41
Ru 0.2500 0.3549 0.0629  4 P 2.35-2.41
Ru 0.7500 0.1451 0.5629  4 P 2.35-2.41
Ta 0.2500 0.9754 0.8276  5 P 2.61-2.69, 6 Ru 2.85-2.91
Ta 0.2500 0.4754 0.6724  5 P 2.61-2.69, 6 Ru 2.85-2.91
Ta 0.7500 0.5246 0.3276  5 P 2.61-2.69, 6 Ru 2.85-2.91
Ta 0.7500 0.0246 0.1724  5 P 2.61-2.69, 6 Ru 2.85-2.91



Record 19
The following is a DFT calculation (GGA-PBEsol) of a geometry-optimized Ta3PRu structure.

abc: 4.7181 4.7181 4.7181
angles: 90.00 90.00 90.00
With the nearest neighbours (Å) after each atom.
Fractional positions:
P 0.5000 0.5000 0.5000  12 Ta 3.34
Ta 0.0000 0.5000 0.0000  2 Ru 2.36
Ta 0.0000 0.0000 0.5000  2 Ru 2.36
Ta 0.5000 0.0000 0.0000  2 Ru 2.36
Ru 0.0000 0.0000 0.0000  6 Ta 2.36



Record 20
The following is a DFT calculation (GGA-PBEsol) of a geometry-optimized Ta2PRu structure.

abc: 3.3295 4.0162 4.4879
angles: 90.00 90.00 90.00
With the nearest neighbours (Å) after each atom.
Fractional positions:
P 0.5000 0.5000 0.0000  4 Ta 2.61, 4 Ru 2.79
Ta 0.0000 0.0000 0.0000  4 P 2.61, 4 Ta 2.79
Ta 0.5000 0.0000 0.5000  4 Ru 2.61, 4 Ta 2.79
Ru 0.0000 0.5000 0.5000  4 Ta 2.61, 4 P 2.79



no.,total energy (eV per atom)
1,-7.595
2,-7.825
3,-6.539
4,-9.031
5,-7.785
6,-7.706
7,-8.781
8,-8.762
9,-8.184
10,-7.918
11,-7.125
12,-7.694
13,-4.542
14,-9.002
15,-9.691
16,-10.587
17,-8.912
18,-10.350
19,-9.435
20,-10.544